13
Lattice="-3.4313 4.4999 -1.7543 -1.8997 -0.4911 -7.2705 -7.3931 -1.4047 0.8531" Properties=species:S:1:pos:R:3 comment="TbZnCd11 (PBE, relaxed)" magnetic_moment_mub_per_cell=0.00 dft_energy_ev_per_atom=-1.31 spacegroup="C2/m (12)" pbc="T T T"
Cd -3.6966 -0.7024 0.4266
Cd -8.9126 3.3643 -3.7424
Cd -7.9889 1.0640 -1.7911
Cd -2.9831 0.9319 -1.9166
Cd -9.7409 1.6721 -6.2551
Cd -7.2889 0.3556 -4.7695
Cd -5.4122 1.5476 -0.4506
Cd -5.4352 2.2485 -3.4022
Cd -3.8114 -0.7603 -4.4293
Cd -4.7351 1.5401 -6.3806
Cd -0.9498 -0.2455 -3.6353
Zn -2.6655 2.0044 -4.5124
Tb 0.0000 0.0000 0.0000